# 1
Material: CeSiBIr3
Method: DFT, PBEsol
State: optimized geometry

## Properties
**Formation energy without anion corrections**: -4.3 eV per formula unit

Lattice parameters (Å, degrees): 5.4892 5.4892 3.4396 90.00 90.00 120.00
Fractional positions:
Ce1 0.0000 0.0000 0.0000
Si1 0.3333 0.6667 0.0000
B1 0.6667 0.3333 0.0000
Ir1 0.5065 0.0131 0.5000
Ir2 0.5065 0.4935 0.5000
Ir3 0.9869 0.4935 0.5000

# 2
Material: CeBMoO6
Method: DFT, PBEsol
State: optimized geometry

## Properties
**Formation energy without anion corrections**: -22.9 eV per formula unit

Lattice parameters (Å, degrees): 10.1389 4.1100 11.9174 90.00 117.18 90.00
Fractional positions:
Ce1 0.1985 0.1926 0.0337
Ce2 0.1985 0.3074 0.5337
Ce3 0.8015 0.6926 0.4663
Ce4 0.8015 0.8074 0.9663
B1 0.0059 0.6699 0.8098
B2 0.0059 0.8301 0.3098
B3 0.9941 0.1699 0.6902
B4 0.9941 0.3301 0.1902
Mo1 0.3523 0.7179 0.8143
Mo2 0.3523 0.7821 0.3143
Mo3 0.6477 0.2179 0.6857
Mo4 0.6477 0.2821 0.1857
O1 0.0002 0.2207 0.0864
O2 0.0002 0.2793 0.5864
O3 0.9998 0.7207 0.4136
O4 0.9998 0.7793 0.9136
O5 0.0334 0.1603 0.3028
O6 0.0334 0.3397 0.8028
O7 0.2552 0.7029 0.4046
O8 0.2552 0.7971 0.9046
O9 0.2587 0.6986 0.1437
O10 0.2587 0.8014 0.6437
O11 0.3343 0.2103 0.2928
O12 0.3343 0.2897 0.7928
O13 0.4560 0.2148 0.1027
O14 0.4560 0.2852 0.6027
O15 0.5440 0.7148 0.3973
O16 0.5440 0.7852 0.8973
O17 0.6657 0.7103 0.2072
O18 0.6657 0.7897 0.7072
O19 0.7413 0.1986 0.3563
O20 0.7413 0.3014 0.8563
O21 0.7448 0.2029 0.0954
O22 0.7448 0.2971 0.5954
O23 0.9666 0.6603 0.1972
O24 0.9666 0.8397 0.6972

# 3
Material: CeBN2
Method: DFT, PBEsol
State: optimized geometry

## Properties
**Formation energy without anion corrections**: -5.7 eV per formula unit

Lattice parameters (Å, degrees): 6.3046 6.6484 7.6048 106.55 90.14 114.98
Fractional positions:
Ce1 0.0309 0.2790 0.0757
Ce2 0.0385 0.2801 0.5645
Ce3 0.4564 0.1518 0.7940
Ce4 0.5436 0.8482 0.2060
Ce5 0.9615 0.7199 0.4355
Ce6 0.9691 0.7210 0.9243
B1 0.2189 0.0634 0.2676
B2 0.4015 0.7056 0.8335
B3 0.4017 0.7165 0.5132
B4 0.5983 0.2835 0.4868
B5 0.5985 0.2944 0.1665
B6 0.7811 0.9366 0.7324
N1 0.0373 0.0195 0.7525
N2 0.2631 0.5747 0.3352
N3 0.2645 0.5485 0.9312
N4 0.2677 0.7044 0.6723
N5 0.3439 0.1249 0.4548
N6 0.3462 0.1251 0.1121
N7 0.6538 0.8749 0.8879
N8 0.6561 0.8751 0.5452
N9 0.7323 0.2956 0.3277
N10 0.7355 0.4515 0.0688
N11 0.7369 0.4253 0.6648
N12 0.9627 0.9805 0.2475

# 4
Material: CeNiB4
Method: DFT, PBEsol
State: optimized geometry

## Properties
**DFT formation energy**: -0.614 eV/atom

Lattice parameters (Å, degrees): 6.8820 6.8820 6.8820 112.83 112.83 102.94
Fractional positions:
Ce1 0.2006 0.2006 0.0000
Ce2 0.2500 0.7500 0.5000
Ce3 0.7500 0.2500 0.5000
Ce4 0.7994 0.7994 0.0000
Ni1 0.2717 0.5000 0.7717
Ni2 0.5000 0.2717 0.7717
Ni3 0.5000 0.7283 0.2283
Ni4 0.7283 0.5000 0.2283
B1 0.1114 0.2744 0.3858
B2 0.1114 0.7256 0.8369
B3 0.1131 0.1131 0.5315
B4 0.1131 0.5816 0.0000
B5 0.2744 0.1114 0.3858
B6 0.2744 0.8886 0.1631
B7 0.4184 0.4184 0.5315
B8 0.4184 0.8869 0.0000
B9 0.5816 0.1131 0.0000
B10 0.5816 0.5816 0.4685
B11 0.7256 0.1114 0.8369
B12 0.7256 0.8886 0.6142
B13 0.8869 0.4184 0.0000
B14 0.8869 0.8869 0.4685
B15 0.8886 0.2744 0.1631
B16 0.8886 0.7256 0.6142

# 5
Material: Ce2NiB10
Method: DFT, PBEsol
State: optimized geometry

## Properties
**DFT formation energy**: -0.599 eV/atom

Lattice parameters (Å, degrees): 5.5546 11.0530 4.1361 90.00 90.00 90.00
Fractional positions:
Ce1 0.1853 0.1383 0.0000
Ce2 0.3147 0.6383 0.0000
Ce3 0.6853 0.3617 0.0000
Ce4 0.8147 0.8617 0.0000
Ni1 0.0000 0.5000 0.5000
Ni2 0.5000 0.0000 0.5000
B1 0.0286 0.3132 0.5000
B2 0.1267 0.9599 0.5000
B3 0.1586 0.8022 0.5000
B4 0.1982 0.3867 0.1989
B5 0.1982 0.3867 0.8011
B6 0.3018 0.8867 0.1989
B7 0.3018 0.8867 0.8011
B8 0.3414 0.3022 0.5000
B9 0.3733 0.4599 0.5000
B10 0.4714 0.8132 0.5000
B11 0.5286 0.1868 0.5000
B12 0.6267 0.5401 0.5000
B13 0.6586 0.6978 0.5000
B14 0.6982 0.1133 0.1989
B15 0.6982 0.1133 0.8011
B16 0.8018 0.6133 0.1989
B17 0.8018 0.6133 0.8011
B18 0.8414 0.1978 0.5000
B19 0.8733 0.0401 0.5000
B20 0.9714 0.6868 0.5000

# 6
Material: CeNi4B
Method: DFT, PBEsol
State: optimized geometry

## Properties
**DFT formation energy**: -0.466 eV/atom

Lattice parameters (Å, degrees): 4.9142 4.9142 6.9440 90.00 90.00 120.00
Fractional positions:
Ce1 0.0000 0.0000 0.0000
Ce2 0.0000 0.0000 0.5000
Ni1 0.0000 0.5000 0.2100
Ni2 0.0000 0.5000 0.7900
Ni3 0.3333 0.6667 0.5000
Ni4 0.5000 0.0000 0.2100
Ni5 0.5000 0.0000 0.7900
Ni6 0.5000 0.5000 0.2100
Ni7 0.5000 0.5000 0.7900
Ni8 0.6667 0.3333 0.5000
B1 0.3333 0.6667 0.0000
B2 0.6667 0.3333 0.0000

# 7
Material: CeNi12B6
Method: DFT, PBEsol
State: optimized geometry

## Properties
**DFT formation energy**: -0.436 eV/atom

Lattice parameters (Å, degrees): 5.9723 5.9723 10.8622 90.00 90.00 75.14
Fractional positions:
Ce1 0.1686 0.8314 0.5000
Ce2 0.8314 0.1686 0.0000
Ni1 0.0052 0.6299 0.0596
Ni2 0.1222 0.1440 0.2431
Ni3 0.1440 0.1222 0.7431
Ni4 0.1975 0.5413 0.2622
Ni5 0.2099 0.5296 0.7199
Ni6 0.2169 0.7831 0.8994
Ni7 0.2697 0.3422 0.9288
Ni8 0.3422 0.2697 0.4288
Ni9 0.3701 0.9948 0.0596
Ni10 0.4373 0.5627 0.0772
Ni11 0.4587 0.8025 0.2622
Ni12 0.4704 0.7901 0.7199
Ni13 0.5296 0.2099 0.2199
Ni14 0.5413 0.1975 0.7622
Ni15 0.5627 0.4373 0.5772
Ni16 0.6299 0.0052 0.5596
Ni17 0.6578 0.7303 0.9288
Ni18 0.7303 0.6578 0.4288
Ni19 0.7831 0.2169 0.3994
Ni20 0.7901 0.4704 0.2199
Ni21 0.8025 0.4587 0.7622
Ni22 0.8560 0.8778 0.2431
Ni23 0.8778 0.8560 0.7431
Ni24 0.9948 0.3701 0.5596
B1 0.0132 0.4007 0.3742
B2 0.1638 0.8362 0.1596
B3 0.2432 0.3244 0.1116
B4 0.3244 0.2432 0.6116
B5 0.4007 0.0132 0.8742
B6 0.4860 0.5140 0.8417
B7 0.5140 0.4860 0.3417
B8 0.5993 0.9868 0.3742
B9 0.6756 0.7568 0.1116
B10 0.7568 0.6756 0.6116
B11 0.8362 0.1638 0.6596
B12 0.9868 0.5993 0.8742

# 8
Material: Ce2Ni5B4
Method: DFT, PBEsol
State: optimized geometry

## Properties
**DFT formation energy**: -0.497 eV/atom

Lattice parameters (Å, degrees): 5.4098 5.4098 6.4514 119.28 119.28 55.52
Fractional positions:
Ce1 0.2354 0.2354 0.1512
Ce2 0.7646 0.7646 0.8488
Ni1 0.1660 0.6745 0.6256
Ni2 0.3255 0.8340 0.3744
Ni3 0.5000 0.5000 0.0000
Ni4 0.6745 0.1660 0.6256
Ni5 0.8340 0.3255 0.3744
B1 0.0952 0.0952 0.6469
B2 0.2774 0.2774 0.6710
B3 0.7226 0.7226 0.3290
B4 0.9048 0.9048 0.3531

# 9
Material: CeB3O6
Method: DFT, PBEsol
State: optimized geometry

## Properties
**Polymorph energy (0 for the lowest one)**: 0.000 eV per atom
**Formation energy without anion corrections**: -27.4 eV per formula unit

Lattice parameters (Å, degrees): 18.4149 4.4495 4.2813 90.00 90.00 90.00
Fractional positions:
Ce1 0.1595 0.1974 0.0000
Ce2 0.3405 0.1974 0.5000
Ce3 0.6595 0.8026 0.0000
Ce4 0.8405 0.8026 0.5000
B1 0.0018 0.8238 0.0482
B2 0.0737 0.6750 0.5242
B3 0.2129 0.6449 0.5035
B4 0.2871 0.6449 0.0035
B5 0.4263 0.6750 0.0242
B6 0.4982 0.8238 0.5482
B7 0.5018 0.1762 0.0482
B8 0.5737 0.3250 0.5242
B9 0.7129 0.3551 0.5035
B10 0.7871 0.3551 0.0035
B11 0.9263 0.3250 0.0242
B12 0.9982 0.1762 0.5482
O1 0.0163 0.8703 0.6926
O2 0.0608 0.3608 0.5991
O3 0.0690 0.7340 0.1888
O4 0.1448 0.7663 0.6372
O5 0.2097 0.3193 0.5068
O6 0.2234 0.7532 0.1829
O7 0.2766 0.7532 0.6829
O8 0.2903 0.3193 0.0068
O9 0.3552 0.7663 0.1372
O10 0.4310 0.7340 0.6888
O11 0.4392 0.3608 0.0991
O12 0.4837 0.8703 0.1926
O13 0.5163 0.1297 0.6926
O14 0.5608 0.6392 0.5991
O15 0.5690 0.2660 0.1888
O16 0.6448 0.2337 0.6372
O17 0.7097 0.6807 0.5068
O18 0.7234 0.2468 0.1829
O19 0.7766 0.2468 0.6829
O20 0.7903 0.6807 0.0068
O21 0.8552 0.2337 0.1372
O22 0.9310 0.2660 0.6888
O23 0.9392 0.6392 0.0991
O24 0.9837 0.1297 0.1926

# 10
Material: CeB3O6
Method: DFT, PBEsol
State: optimized geometry

## Properties
**Polymorph energy (0 for the lowest one)**: 0.001 eV per atom
**Formation energy without anion corrections**: -27.4 eV per formula unit

Lattice parameters (Å, degrees): 4.2155 11.7173 7.2145 90.00 91.38 90.00
Fractional positions:
Ce1 0.2169 0.1200 0.3844
Ce2 0.2169 0.3800 0.8844
Ce3 0.7831 0.6200 0.1156
Ce4 0.7831 0.8800 0.6156
B1 0.1898 0.0947 0.8752
B2 0.1898 0.4053 0.3752
B3 0.3132 0.6204 0.4219
B4 0.3132 0.8796 0.9219
B5 0.3270 0.6677 0.7854
B6 0.3270 0.8323 0.2854
B7 0.6730 0.1677 0.7146
B8 0.6730 0.3323 0.2146
B9 0.6868 0.1204 0.0781
B10 0.6868 0.3796 0.5781
B11 0.8102 0.5947 0.6248
B12 0.8102 0.9053 0.1248
O1 0.1585 0.6265 0.6075
O2 0.1585 0.8735 0.1075
O3 0.2041 0.5224 0.3128
O4 0.2041 0.9776 0.8128
O5 0.2201 0.7141 0.3006
O6 0.2201 0.7859 0.8006
O7 0.2552 0.5915 0.9375
O8 0.2552 0.9085 0.4375
O9 0.3266 0.1714 0.7385
O10 0.3266 0.3286 0.2385
O11 0.3447 0.1180 0.0522
O12 0.3447 0.3820 0.5522
O13 0.6553 0.6180 0.4478
O14 0.6553 0.8820 0.9478
O15 0.6734 0.6714 0.7615
O16 0.6734 0.8286 0.2615
O17 0.7448 0.0915 0.5625
O18 0.7448 0.4085 0.0625
O19 0.7799 0.2141 0.1994
O20 0.7799 0.2859 0.6994
O21 0.7959 0.0224 0.1872
O22 0.7959 0.4776 0.6872
O23 0.8415 0.1265 0.8925
O24 0.8415 0.3735 0.3925

# 11
Material: CeB3O6
Method: DFT, PBEsol
State: optimized geometry

## Properties
**Polymorph energy (0 for the lowest one)**: 0.032 eV per atom
**Formation energy without anion corrections**: -27.1 eV per formula unit

Lattice parameters (Å, degrees): 6.3614 6.3614 6.3989 117.28 117.28 79.13
Fractional positions:
Ce1 0.1978 0.8022 0.7500
Ce2 0.8022 0.1978 0.2500
B1 0.2080 0.3422 0.9175
B2 0.2197 0.7803 0.2500
B3 0.3422 0.2080 0.4175
B4 0.6578 0.7920 0.5825
B5 0.7803 0.2197 0.7500
B6 0.7920 0.6578 0.0825
O1 0.0046 0.7837 0.2875
O2 0.2088 0.5864 0.0082
O3 0.2129 0.3892 0.5040
O4 0.2163 0.9954 0.2125
O5 0.3892 0.2129 0.0040
O6 0.4136 0.7912 0.4918
O7 0.5864 0.2088 0.5082
O8 0.6108 0.7871 0.9960
O9 0.7837 0.0046 0.7875
O10 0.7871 0.6108 0.4960
O11 0.7912 0.4136 0.9918
O12 0.9954 0.2163 0.7125

# 12
Material: Ce2B8O15
Method: DFT, PBEsol
State: optimized geometry

## Properties
**Formation energy without anion corrections**: -67.2 eV per formula unit

Lattice parameters (Å, degrees): 9.1324 4.1990 12.4838 90.00 116.88 90.00
Fractional positions:
Ce1 0.1409 0.2366 0.4476
Ce2 0.1409 0.7634 0.9476
Ce3 0.8591 0.2366 0.0524
Ce4 0.8591 0.7634 0.5524
B1 0.1072 0.2846 0.7047
B2 0.1072 0.7154 0.2047
B3 0.2833 0.2292 0.2344
B4 0.2833 0.7708 0.7344
B5 0.4056 0.2855 0.8736
B6 0.4056 0.7145 0.3736
B7 0.4121 0.2084 0.0851
B8 0.4121 0.7916 0.5851
B9 0.5879 0.2084 0.4149
B10 0.5879 0.7916 0.9149
B11 0.5944 0.2855 0.6264
B12 0.5944 0.7145 0.1264
B13 0.7167 0.2292 0.2656
B14 0.7167 0.7708 0.7656
B15 0.8928 0.2846 0.7953
B16 0.8928 0.7154 0.2953
O1 0.0000 0.1454 0.7500
O2 0.0000 0.8546 0.2500
O3 0.0271 0.2421 0.5778
O4 0.0271 0.7579 0.0778
O5 0.1400 0.3777 0.2364
O6 0.1400 0.6223 0.7364
O7 0.2767 0.1205 0.7634
O8 0.2767 0.8795 0.2634
O9 0.2843 0.2742 0.1209
O10 0.2843 0.7258 0.6209
O11 0.3370 0.3137 0.9590
O12 0.3370 0.6863 0.4590
O13 0.4282 0.3765 0.3385
O14 0.4282 0.6235 0.8385
O15 0.4416 0.1301 0.5882
O16 0.4416 0.8699 0.0882
O17 0.5584 0.1301 0.9118
O18 0.5584 0.8699 0.4118
O19 0.5718 0.3765 0.1615
O20 0.5718 0.6235 0.6615
O21 0.6630 0.3137 0.5410
O22 0.6630 0.6863 0.0410
O23 0.7157 0.2742 0.3791
O24 0.7157 0.7258 0.8791
O25 0.7233 0.1205 0.7366
O26 0.7233 0.8795 0.2366
O27 0.8600 0.3777 0.2636
O28 0.8600 0.6223 0.7636
O29 0.9729 0.2421 0.9222
O30 0.9729 0.7579 0.4222